[1]
## Re2Ru (PBE)

Data for a geometry-optimized Re2Ru structure.

Structure (extended XYZ):
```
12
Lattice="2.698 0.000 0.000 0.000 4.182 0.000 0.000 0.000 17.272" Properties=species:S:1:pos:R:3 pbc="T T T"
Re 0.000 1.045 0.649
Re 0.000 1.045 3.193
Re 0.000 3.136 14.079
Re 0.000 3.136 16.623
Re 1.349 1.045 5.443
Re 1.349 1.045 7.987
Re 1.349 3.136 9.284
Re 1.349 3.136 11.829
Ru 0.000 1.045 10.538
Ru 0.000 3.136 6.734
Ru 1.349 1.045 15.370
Ru 1.349 3.136 1.902
```

Computed properties:
- Space-group type: Imma
- ΔH_f (0 K): 0.516 eV per atom

[2]
## Sr2GaAg (PBE)

Data for a geometry-optimized Sr2GaAg structure.

Structure (extended XYZ):
```
8
Lattice="4.677 0.000 0.000 0.000 4.707 0.000 0.000 0.000 11.696" Properties=species:S:1:pos:R:3 pbc="T T T"
Sr 0.000 0.000 0.000
Sr 0.000 2.354 5.848
Sr 2.338 0.000 3.346
Sr 2.338 2.354 9.194
Ga 2.338 0.000 6.808
Ga 2.338 2.354 0.960
Ag 0.000 0.000 8.210
Ag 0.000 2.354 2.362
```

Computed properties:
- Space-group type: Amm2
- ΔH_f (0 K): -0.328 eV per atom